(1)
Computed, not measured: a geometry-optimized SiNiHg structure at the PBE level of DFT.

abc: 6.1845 6.1845 2.8935
angles: 76.47 76.47 27.06
Fractional coordinates of all 3 atoms:
Hg 0.9864 0.9864 0.0136
Ni 0.3082 0.3082 0.6918
Si 0.7054 0.7054 0.2946

## Properties
The energy above the most stable polymorph in this dataset comes out at 0.0 kJ/mol of atoms. The raw formation energy comes out at 0.119 eV/atom. Its total energy is -3.72 eV per atom. Its space group is No. 107.

---

(2)
Computed, not measured: a geometry-optimized BiPH2 structure at the PBE level of DFT.

abc: 5.4630 5.4630 5.4579
angles: 59.97 59.97 90.00
Fractional coordinates of all 8 atoms:
P 0.5000 0.5000 0.0000
P 0.2500 0.7500 0.5000
Bi 0.0000 0.0000 0.0000
Bi 0.7500 0.2500 0.5000
H 0.3754 0.1250 0.2500
H 0.3746 0.6250 0.2500
H 0.3750 0.6246 0.7500
H 0.8750 0.6254 0.7500

## Properties
The energy above the most stable polymorph in this dataset comes out at 0.0 kJ/mol of atoms. Its total energy is -3.61 eV per atom. Its space group is No. 141.

---

(3)
Computed, not measured: a geometry-optimized Y4ZrBe structure at the PBE level of DFT.

abc: 6.2296 6.2296 6.2296
angles: 60.00 60.00 60.00
Fractional coordinates of all 6 atoms:
Y 0.8743 0.3752 0.3752
Y 0.3752 0.3752 0.8743
Y 0.3752 0.8743 0.3752
Y 0.3752 0.3752 0.3752
Zr 0.7500 0.7500 0.7500
Be 0.0000 0.0000 0.0000

## Properties
As for the energy relative to the elements: 764 meV/atom. Its total energy is -5.59 eV per atom. Its space group is No. 216.

---

(4)
Computed, not measured: a geometry-optimized LaCo6B3 structure at the PBE level of DFT.

abc: 5.1912 5.2122 5.6792
angles: 95.32 113.27 121.30
Fractional coordinates of all 10 atoms:
La 0.9133 0.9762 0.8851
Co 0.2301 0.3288 0.5960
Co 0.1503 0.6008 0.2385
Co 0.6246 0.1155 0.2399
Co 0.2903 0.8738 0.7066
Co 0.8003 0.4038 0.6983
Co 0.7294 0.6740 0.2816
B 0.6272 0.3447 0.9712
B 0.3314 0.6484 0.9760
B 0.3029 0.0339 0.4068

## Properties
As for the energy relative to the elements: -180 meV/atom. Its total energy is -6.94 eV per atom. Its space group is No. 1.

---

(5)
Computed, not measured: a geometry-optimized KCN3 structure at the PBE level of DFT.

abc: 3.6228 3.6228 3.6228
angles: 90.00 90.00 90.00
Fractional coordinates of all 5 atoms:
K 0.5000 0.5000 0.5000
C 0.0000 0.0000 0.0000
N 0.0000 0.5000 0.0000
N 0.0000 0.0000 0.5000
N 0.5000 0.0000 0.0000

## Properties
The raw formation energy comes out at 2.671 eV/atom. Its total energy is -4.39 eV per atom. Its space group is No. 221.

---

(6)
Computed, not measured: a geometry-optimized AcEr2Al structure at the PBE level of DFT.

abc: 3.6105 3.6105 9.2125
angles: 90.00 90.00 90.00
Fractional coordinates of all 4 atoms:
Ac 0.5000 0.5000 0.5000
Al 0.5000 0.5000 0.0000
Er 0.0000 0.0000 0.8030
Er 0.0000 0.0000 0.1970

## Properties
As for the energy relative to the elements: -152 meV/atom. The energy above the most stable polymorph in this dataset comes out at 0.0 kJ/mol of atoms. Its total energy is -4.40 eV per atom. Its space group is No. 123.

---

(7)
Computed, not measured: a geometry-optimized NaReIBr2 structure at the PBE level of DFT.

abc: 5.2489 5.6809 5.2489
angles: 90.00 90.00 90.00
Fractional coordinates of all 5 atoms:
I 0.0000 0.5000 0.0000
Re 0.0000 0.0000 0.0000
Br 0.0000 0.0000 0.5000
Br 0.5000 0.0000 0.0000
Na 0.5000 0.5000 0.5000

## Properties
The raw formation energy comes out at 0.034 eV/atom. Its total energy is -3.70 eV per atom. Its space group is No. 123.

---

(8)
Computed, not measured: a geometry-optimized Sr3TaO structure at the PBE level of DFT.

abc: 5.7410 5.7410 5.7410
angles: 90.00 90.00 90.00
Fractional coordinates of all 5 atoms:
Sr 0.0000 0.5000 0.0000
Sr 0.0000 0.0000 0.5000
Sr 0.5000 0.0000 0.0000
O 0.5000 0.5000 0.5000
Ta 0.0000 0.0000 0.0000

## Properties
The energy above the most stable polymorph in this dataset comes out at 146.2 kJ/mol of atoms. The raw formation energy comes out at 1.183 eV/atom. Its total energy is -3.19 eV per atom. Its space group is No. 221.